Entry 1:
# PBE-GGA TeIrN2, optimized geometry
# Raw total energy, eV per cell: -72.5
# ΔE_f (raw), eV/f.u.: 4.5
# Theoretical density, Mg/m³: 10.01
# V, Å³/f.u.: 57.73
data_TeIrN2
_space_group_name_H-M_alt 'R -3 m'
_space_group_IT_number 166
_space_group_name_Hall '-R 3 2"'
_cell_length_a 3.2374
_cell_length_b 3.2374
_cell_length_c 19.0802
_cell_angle_alpha 90.00
_cell_angle_beta 90.00
_cell_angle_gamma 120.00
loop_
_atom_site_label
_atom_site_type_symbol
_atom_site_fract_x
_atom_site_fract_y
_atom_site_fract_z
Te1 Te 0.0000 0.0000 0.0000
Ir1 Ir 0.0000 0.0000 0.5000
N1 N 0.0000 0.0000 0.3976

Entry 2:
# PBE-GGA ThBe2CuPt5, optimized geometry
# Raw total energy, eV per cell: -54.6
# Theoretical density, Mg/m³: 15.24
# V, Å³/f.u.: 140.44
# Energy of formation, meV per atom: -601
data_ThBe2CuPt5
_space_group_name_H-M_alt 'P 4/m m m'
_space_group_IT_number 123
_space_group_name_Hall '-P 4 2'
_cell_length_a 4.463
_cell_length_b 4.463
_cell_length_c 7.052
_cell_angle_alpha 90.00
_cell_angle_beta 90.00
_cell_angle_gamma 90.00
loop_
_atom_site_label
_atom_site_type_symbol
_atom_site_fract_x
_atom_site_fract_y
_atom_site_fract_z
Th1 Th 0.000 0.000 0.000
Be1 Be 0.500 0.500 0.340
Cu1 Cu 0.000 0.000 0.500
Pt1 Pt 0.000 0.500 0.290
Pt2 Pt 0.500 0.500 0.000

Entry 3:
# PBE-GGA BaLiAlAu6, optimized geometry
# Raw total energy, eV per cell: -119.4
# Theoretical density, Mg/m³: 10.29
# V, Å³/f.u.: 218.34
# Energy of formation, meV per atom: -290
data_BaLiAlAu6
_space_group_name_H-M_alt 'I m m a'
_space_group_IT_number 74
_space_group_name_Hall '-I 2b 2'
_cell_length_a 7.062
_cell_length_b 8.821
_cell_length_c 14.020
_cell_angle_alpha 90.00
_cell_angle_beta 90.00
_cell_angle_gamma 90.00
loop_
_atom_site_label
_atom_site_type_symbol
_atom_site_fract_x
_atom_site_fract_y
_atom_site_fract_z
Ba1 Ba 0.000 0.250 0.105
Li1 Li 0.250 0.250 0.750
Al1 Al 0.000 0.000 0.500
Au1 Au 0.000 0.250 0.403
Au2 Au 0.000 0.250 0.875
Au3 Au 0.211 0.024 0.648

Entry 4:
# PBE-GGA LiTbYNi, optimized geometry
# Raw total energy, eV per cell: -77.2
# Theoretical density, Mg/m³: 6.08
# V, Å³/f.u.: 85.57
# Energy of formation, meV per atom: -131
data_LiTbYNi
_space_group_name_H-M_alt 'F -4 3 m'
_space_group_IT_number 216
_space_group_name_Hall 'F -4 2 3'
_cell_length_a 6.995
_cell_length_b 6.995
_cell_length_c 6.995
_cell_angle_alpha 90.00
_cell_angle_beta 90.00
_cell_angle_gamma 90.00
loop_
_atom_site_label
_atom_site_type_symbol
_atom_site_fract_x
_atom_site_fract_y
_atom_site_fract_z
Li1 Li 0.000 0.000 0.000
Tb1 Tb 0.250 0.250 0.750
Y1 Y 0.250 0.250 0.250
Ni1 Ni 0.000 0.000 0.500

Entry 5:
# PBE-GGA PrY2OsC2, optimized geometry
# Raw total energy, eV per cell: -96.9
# Theoretical density, Mg/m³: 7.31
# V, Å³/f.u.: 121.11
# Energy of formation, meV per atom: -179
data_PrY2OsC2
_space_group_name_H-M_alt 'P n n m'
_space_group_IT_number 58
_cell_length_a 5.701
_cell_length_b 11.118
_cell_length_c 3.822
_cell_angle_alpha 90.00
_cell_angle_beta 90.00
_cell_angle_gamma 90.00
loop_
_space_group_symop_operation_xyz
'x,y,z'
'-x,-y,-z'
'-x,-y,z'
'x,y,-z'
'x+1/2,-y+1/2,-z+1/2'
'-x+1/2,y+1/2,z+1/2'
'-x+1/2,y+1/2,-z+1/2'
'x+1/2,-y+1/2,z+1/2'
loop_
_atom_site_label
_atom_site_type_symbol
_atom_site_fract_x
_atom_site_fract_y
_atom_site_fract_z
Pr1 Pr 0.000 0.000 0.000
Y1 Y 0.027 0.296 0.500
Os1 Os 0.000 0.500 0.000
C1 C 0.249 0.375 0.000

Entry 6:
# PBE-GGA PrGdAgRh, optimized geometry
# Raw total energy, eV per cell: -123.7
# Theoretical density, Mg/m³: 8.93
# V, Å³/f.u.: 94.65
# Energy of formation, meV per atom: -464
data_PrGdAgRh
_space_group_name_H-M_alt 'F -4 3 m'
_space_group_IT_number 216
_space_group_name_Hall 'F -4 2 3'
_cell_length_a 7.234
_cell_length_b 7.234
_cell_length_c 7.234
_cell_angle_alpha 90.00
_cell_angle_beta 90.00
_cell_angle_gamma 90.00
loop_
_atom_site_label
_atom_site_type_symbol
_atom_site_fract_x
_atom_site_fract_y
_atom_site_fract_z
Pr1 Pr 0.000 0.000 0.000
Gd1 Gd 0.000 0.000 0.500
Ag1 Ag 0.250 0.250 0.250
Rh1 Rh 0.250 0.250 0.750

Entry 7:
# PBE-GGA SrRe2NiRh, optimized geometry
# Raw total energy, eV per cell: -23.2
# Theoretical density, Mg/m³: 10.31
# V, Å³/f.u.: 100.14
# Energy of formation, meV per atom: 3300
data_SrRe2NiRh
_space_group_name_H-M_alt 'P 4/m m m'
_space_group_IT_number 123
_space_group_name_Hall '-P 4 2'
_cell_length_a 4.747
_cell_length_b 4.747
_cell_length_c 4.444
_cell_angle_alpha 90.00
_cell_angle_beta 90.00
_cell_angle_gamma 90.00
loop_
_atom_site_label
_atom_site_type_symbol
_atom_site_fract_x
_atom_site_fract_y
_atom_site_fract_z
Sr1 Sr 0.000 0.000 0.000
Re1 Re 0.000 0.500 0.000
Ni1 Ni 0.000 0.000 0.500
Rh1 Rh 0.500 0.500 0.500

Entry 8:
# PBE-GGA BaCaAc, optimized geometry
# Raw total energy, eV per cell: -15.9
# Theoretical density, Mg/m³: 4.49
# V, Å³/f.u.: 149.60
# ΔE to the lowest computed polymorph, meV/atom: 0.0
# Energy of formation, meV per atom: 34
data_BaCaAc
_space_group_name_H-M_alt 'P 4/n m m'
_space_group_IT_number 129
_cell_length_a 4.124
_cell_length_b 4.124
_cell_length_c 17.589
_cell_angle_alpha 90.00
_cell_angle_beta 90.00
_cell_angle_gamma 90.00
loop_
_space_group_symop_operation_xyz
'x,y,z'
'-x,-y,-z'
'-y+1/2,x,z'
'y+1/2,-x,-z'
'-x+1/2,-y+1/2,z'
'x+1/2,y+1/2,-z'
'y,-x+1/2,z'
'-y,x+1/2,-z'
'x+1/2,-y,-z'
'-x+1/2,y,z'
'-y,-x,-z'
'y,x,z'
'-x,y+1/2,-z'
'x,-y+1/2,z'
'y+1/2,x+1/2,-z'
'-y+1/2,-x+1/2,z'
loop_
_atom_site_label
_atom_site_type_symbol
_atom_site_fract_x
_atom_site_fract_y
_atom_site_fract_z
Ba1 Ba 0.250 0.250 0.099
Ca1 Ca 0.250 0.250 0.728
Ac1 Ac 0.250 0.250 0.427

Entry 9:
# PBE-GGA Ac2YCdPd6, optimized geometry
# Raw total energy, eV per cell: -104.2
# Theoretical density, Mg/m³: 8.26
# V, Å³/f.u.: 259.96
# Energy of formation, meV per atom: -537
data_Ac2YCdPd6
_space_group_name_H-M_alt 'C 1 2/m 1'
_space_group_IT_number 12
_cell_length_a 10.064
_cell_length_b 5.812
_cell_length_c 9.502
_cell_angle_alpha 90.00
_cell_angle_beta 110.70
_cell_angle_gamma 90.00
loop_
_space_group_symop_operation_xyz
'x,y,z'
'-x,-y,-z'
'-x,y,-z'
'x,-y,z'
'x+1/2,y+1/2,z'
'-x+1/2,-y+1/2,-z'
'-x+1/2,y+1/2,-z'
'x+1/2,-y+1/2,z'
loop_
_atom_site_label
_atom_site_type_symbol
_atom_site_fract_x
_atom_site_fract_y
_atom_site_fract_z
Ac1 Ac 0.216 0.000 0.147
Y1 Y 0.000 0.000 0.500
Cd1 Cd 0.000 0.500 0.000
Pd1 Pd 0.003 0.249 0.758
Pd2 Pd 0.248 0.500 0.241

Entry 10:
# PBE-GGA DyRhAu, optimized geometry
# Raw total energy, eV per cell: -17.0
# Theoretical density, Mg/m³: 12.39
# V, Å³/f.u.: 61.94
# ΔE to the lowest computed polymorph, meV/atom: 95.8
# Energy of formation, meV per atom: -592
data_DyRhAu
_space_group_name_H-M_alt 'P -6 m 2'
_space_group_IT_number 187
_space_group_name_Hall 'P -6 2'
_cell_length_a 4.5764
_cell_length_b 4.5764
_cell_length_c 3.4152
_cell_angle_alpha 90.00
_cell_angle_beta 90.00
_cell_angle_gamma 120.00
loop_
_atom_site_label
_atom_site_type_symbol
_atom_site_fract_x
_atom_site_fract_y
_atom_site_fract_z
Dy1 Dy 0.0000 0.0000 0.0000
Rh1 Rh 0.6667 0.3333 0.5000
Au1 Au 0.3333 0.6667 0.5000